[1]
DFT (PBE-GGA) results for a relaxed structure of Pt2PbO4. Values from VASP.

## Properties
magnetization	0.000	μB per formula unit
SG	P-1, No. 2
uncorrected energy	-81.140	eV/cell
polymorph energy (0 for the lowest one)	16	meV per atom
E_form (uncorrected)	-4.9	eV/f.u.

```
&SYSTEM
  ibrav = 0, nat = 14, ntyp = 3
/
ATOMIC_SPECIES
Pt 195.08 Pt.upf
Pb 207.20 Pb.upf
O 16.00 O.upf
CELL_PARAMETERS angstrom
5.832 0.000 0.000
2.195 5.830 0.000
2.643 1.950 5.857
ATOMIC_POSITIONS crystal
Pt 0.000 0.000 0.000
Pt 0.000 0.000 0.500
Pt 0.000 0.500 0.000
Pt 0.500 0.000 0.000
Pb 0.371 0.357 0.353
Pb 0.629 0.643 0.647
O 0.009 0.344 0.781
O 0.125 0.810 0.778
O 0.378 0.352 0.971
O 0.379 0.948 0.337
O 0.621 0.052 0.663
O 0.622 0.648 0.029
O 0.875 0.190 0.222
O 0.991 0.656 0.219
```

---

[2]
DFT (PBE-GGA) results for a relaxed structure of NaSiIr3. Values from VASP.

## Properties
magnetization	0.000	μB per formula unit
SG	Pm-3m, No. 221
uncorrected energy	-30.690	eV/cell
polymorph energy (0 for the lowest one)	0	meV per atom
E_form (uncorrected)	2.6	eV/f.u.

```
&SYSTEM
  ibrav = 0, nat = 5, ntyp = 3
/
ATOMIC_SPECIES
Na 22.99 Na.upf
Si 28.09 Si.upf
Ir 192.22 Ir.upf
CELL_PARAMETERS angstrom
4.481 0.000 0.000
0.000 4.481 0.000
0.000 0.000 4.481
ATOMIC_POSITIONS crystal
Na 0.000 0.000 0.000
Si 0.500 0.500 0.500
Ir 0.000 0.500 0.500
Ir 0.500 0.000 0.500
Ir 0.500 0.500 0.000
```

---

[3]
DFT (PBE-GGA) results for a relaxed structure of Li2Cd3Hg3. Values from VASP.

## Properties
magnetization	0.000	μB per formula unit
SG	R3m, No. 160
uncorrected energy	-9.023	eV/cell
formation energy	-0.193	eV/atom
polymorph energy (0 for the lowest one)	0	meV per atom

```
&SYSTEM
  ibrav = 0, nat = 8, ntyp = 3
/
ATOMIC_SPECIES
Li 6.94 Li.upf
Cd 112.41 Cd.upf
Hg 200.59 Hg.upf
CELL_PARAMETERS angstrom
2.470 1.426 7.978
-2.470 1.426 7.978
0.000 -2.852 7.978
ATOMIC_POSITIONS crystal
Li 0.000 0.000 0.000
Li 0.494 0.494 0.494
Cd 0.246 0.246 0.246
Cd 0.621 0.621 0.621
Cd 0.748 0.748 0.748
Hg 0.120 0.120 0.120
Hg 0.371 0.371 0.371
Hg 0.877 0.877 0.877
```

---

[4]
DFT (PBE-GGA) results for a relaxed structure of Li2CeAlPt4. Values from VASP.

## Properties
magnetization	0.000	μB per formula unit
SG	R-3m, No. 166
uncorrected energy	-44.593	eV/cell
formation energy	-0.866	eV/atom

```
&SYSTEM
  ibrav = 0, nat = 8, ntyp = 4
/
ATOMIC_SPECIES
Li 6.94 Li.upf
Ce 140.12 Ce.upf
Al 26.98 Al.upf
Pt 195.08 Pt.upf
CELL_PARAMETERS angstrom
2.156 1.245 8.145
-2.156 1.245 8.145
0.000 -2.490 8.145
ATOMIC_POSITIONS crystal
Li 0.240 0.240 0.240
Li 0.760 0.760 0.760
Ce 0.000 0.000 0.000
Al 0.500 0.500 0.500
Pt 0.131 0.131 0.131
Pt 0.396 0.396 0.396
Pt 0.604 0.604 0.604
Pt 0.869 0.869 0.869
```

---

Here are the calculated D(E_F) numbers, same order: 7.6; 3.9; 2.3; 5.3 (states/eV/cell).